(1)
Crystalline K4H2S2N at its relaxed geometry, computed with PBE.

Geometry as POSCAR:
```
K4H2S2N
1.0
4.9156 -4.1479 0.0000
4.9156 4.1479 0.0000
-0.2931 0.0000 5.4644
K H S N
4 2 2 1
Direct
0.0942 0.6726 0.7487 K
0.3274 0.9058 0.2513 K
0.6726 0.0942 0.7487 K
0.9058 0.3274 0.2513 K
0.3969 0.3969 0.0085 H
0.6031 0.6031 0.9915 H
0.1748 0.1748 0.7636 S
0.8252 0.8252 0.2364 S
0.5000 0.5000 0.0000 N
```

Values from the calculation:
electronic total energy: -3.5551 eV per atom
V: 24.8 A^3/atom
D(E_F): 0.91 states/eV/f.u.
total magnetic moment: 1.109 μB per cell

=====

(2)
Crystalline LaPm9Pr2 at its relaxed geometry, computed with PBE.

Geometry as POSCAR:
```
LaPm9Pr2
1.0
5.1910 0.0000 0.0000
0.0000 5.1910 0.0000
0.0000 0.0000 15.5725
La Pm Pr
1 9 2
Direct
0.0000 0.0000 0.0000 La
0.0000 0.5000 0.1674 Pm
0.0000 0.5000 0.5000 Pm
0.0000 0.5000 0.8326 Pm
0.5000 0.0000 0.1674 Pm
0.5000 0.0000 0.5000 Pm
0.5000 0.0000 0.8326 Pm
0.5000 0.5000 0.0000 Pm
0.5000 0.5000 0.3340 Pm
0.5000 0.5000 0.6660 Pm
0.0000 0.0000 0.3331 Pr
0.0000 0.0000 0.6669 Pr
```

Values from the calculation:
electronic total energy: -4.7550 eV per atom
V: 35.0 A^3/atom
D(E_F): 20.78 states/eV/f.u.
energy of formation from the pure elements: 0.015 eV per atom
total magnetic moment: 0.000 μB per cell

=====

(3)
Crystalline CaZr2Be at its relaxed geometry, computed with PBE.

Geometry as POSCAR:
```
CaZr2Be
1.0
-1.6894 2.4414 5.2515
1.6894 -2.4414 5.2515
1.6894 2.4414 -5.2515
Ca Zr Be
1 2 1
Direct
0.0000 0.0000 0.0000 Ca
0.2947 0.7947 0.5000 Zr
0.5863 0.5863 0.0000 Zr
0.7789 0.2789 0.5000 Be
```

Values from the calculation:
electronic total energy: -5.3396 eV per atom
V: 21.7 A^3/atom
D(E_F): 4.63 states/eV/f.u.
energy of formation from the pure elements: 0.366 eV per atom
total magnetic moment: 0.000 μB per cell

=====

(4)
Crystalline DyThTl2 at its relaxed geometry, computed with PBE.

Geometry as POSCAR:
```
DyThTl2
1.0
1.8055 1.0424 10.4854
-1.8055 1.0424 10.4854
0.0000 -2.0848 10.4854
Dy Th Tl
1 1 2
Direct
0.0000 0.0000 0.0000 Dy
0.5000 0.5000 0.5000 Th
0.2539 0.2539 0.2539 Tl
0.7461 0.7461 0.7461 Tl
```

Values from the calculation:
electronic total energy: -4.3291 eV per atom
V: 29.6 A^3/atom
D(E_F): 3.84 states/eV/f.u.
energy of formation from the pure elements: -0.140 eV per atom
total magnetic moment: 0.000 μB per cell